Below is a relaxed TmCd4Ag2 crystal, with properties calculated at the PBE level.

Unit cell a=9.236 b=9.236 c=4.122 alpha=90.00 beta=90.00 gamma=153.40
Element x y z (fractional)
Tm1 0.000 0.000 0.000
Cd1 0.178 0.822 0.500
Cd2 0.315 0.685 0.000
Cd3 0.685 0.315 0.000
Cd4 0.822 0.178 0.500
Ag1 0.426 0.574 0.500
Ag2 0.574 0.426 0.500

Values from the calculation:
Energy of formation from the pure elements in eV/atom: -0.10
Final energy in eV per atom: -2.07
Total magnetization in μB/f.u.: 0.0


Below is a relaxed TmCd2Ag8 crystal, with properties calculated at the PBE level.

Unit cell a=7.836 b=7.836 c=6.714 alpha=106.29 beta=106.29 gamma=32.24
Element x y z (fractional)
Tm1 0.000 0.000 0.000
Cd1 0.273 0.273 0.356
Cd2 0.727 0.727 0.644
Ag1 0.092 0.092 0.464
Ag2 0.184 0.184 0.912
Ag3 0.363 0.363 0.811
Ag4 0.455 0.455 0.275
Ag5 0.545 0.545 0.725
Ag6 0.637 0.637 0.189
Ag7 0.816 0.816 0.088
Ag8 0.908 0.908 0.536

Values from the calculation:
Energy of formation from the pure elements in eV/atom: -0.10
Final energy in eV per atom: -2.75
Total magnetization in μB/f.u.: 0.0


Below is a relaxed TmCd3Ag4 crystal, with properties calculated at the PBE level.

Unit cell a=7.479 b=7.479 c=4.955 alpha=109.07 beta=109.07 gamma=38.60
Element x y z (fractional)
Tm1 0.000 0.000 0.000
Cd1 0.359 0.359 0.852
Cd2 0.500 0.500 0.500
Cd3 0.641 0.641 0.148
Ag1 0.128 0.128 0.624
Ag2 0.248 0.248 0.242
Ag3 0.752 0.752 0.758
Ag4 0.872 0.872 0.376

Values from the calculation:
Energy of formation from the pure elements in eV/atom: -0.13
Final energy in eV per atom: -2.46
Total magnetization in μB/f.u.: 0.0


Below is a relaxed Tm2CdAg4 crystal, with properties calculated at the PBE level.

Unit cell a=7.507 b=7.507 c=7.507 alpha=38.63 beta=38.63 gamma=38.63
Element x y z (fractional)
Tm1 0.223 0.223 0.223
Tm2 0.777 0.777 0.777
Cd1 0.500 0.500 0.500
Ag1 0.069 0.069 0.069
Ag2 0.363 0.363 0.363
Ag3 0.637 0.637 0.637
Ag4 0.931 0.931 0.931

Values from the calculation:
Energy of formation from the pure elements in eV/atom: -0.20
Final energy in eV per atom: -3.23
Total magnetization in μB/f.u.: 0.0


Below is a relaxed Tm5Cd6Ag crystal, with properties calculated at the PBE level.

Unit cell a=8.909 b=8.909 c=8.909 alpha=146.64 beta=130.94 gamma=60.63
Element x y z (fractional)
Tm1 0.000 0.000 0.000
Tm2 0.166 0.666 0.500
Tm3 0.330 0.330 0.000
Tm4 0.670 0.670 0.000
Tm5 0.834 0.334 0.500
Cd1 0.104 0.840 0.263
Cd2 0.266 0.500 0.766
Cd3 0.423 0.160 0.263
Cd4 0.577 0.840 0.737
Cd5 0.734 0.500 0.234
Cd6 0.896 0.160 0.737
Ag1 0.500 0.000 0.500

Values from the calculation:
Energy of formation from the pure elements in eV/atom: -0.26
Final energy in eV per atom: -2.82
Total magnetization in μB/f.u.: 0.0


Below is a relaxed TmCd8Ag6 crystal, with properties calculated at the PBE level.

Unit cell a=7.416 b=7.416 c=7.416 alpha=66.60 beta=66.60 gamma=66.60
Element x y z (fractional)
Tm1 0.000 0.000 0.000
Cd1 0.137 0.807 0.434
Cd2 0.193 0.566 0.863
Cd3 0.272 0.272 0.272
Cd4 0.434 0.137 0.807
Cd5 0.566 0.863 0.193
Cd6 0.728 0.728 0.728
Cd7 0.807 0.434 0.137
Cd8 0.863 0.193 0.566
Ag1 0.077 0.375 0.675
Ag2 0.325 0.923 0.625
Ag3 0.375 0.675 0.077
Ag4 0.625 0.325 0.923
Ag5 0.675 0.077 0.375
Ag6 0.923 0.625 0.325

Values from the calculation:
Energy of formation from the pure elements in eV/atom: -0.04
Final energy in eV per atom: -1.97
Total magnetization in μB/f.u.: 0.0